80
Lattice="-8.309 8.309 8.309 8.309 -8.309 8.309 8.309 8.309 -8.309" Properties=species:S:1:pos:R:3 comment="Eu3Bi5S12 | Alexandria via LeMat-Bulk | PBE | optimized geometry" mass_density_g_cm3=5.5 vol_a3_per_cell=2294.5 dft_energy_ev_per_atom=-5.73 e_form_raw_ev_per_atom=-0.745 pbc="T T T"
Eu 4.154 2.077 0.000
Eu 8.309 4.154 -2.077
Eu 2.077 0.000 4.154
Eu 10.386 0.000 4.154
Eu 0.000 4.154 2.077
Eu 4.154 -2.077 8.309
Eu 4.154 10.386 0.000
Eu 8.309 4.154 6.232
Eu -2.077 8.309 4.154
Eu 6.232 8.309 4.154
Eu 0.000 4.154 10.386
Eu 4.154 6.232 8.309
Bi 0.000 0.000 0.000
Bi 4.154 4.154 -4.154
Bi 4.154 -4.154 4.154
Bi 8.309 0.000 0.000
Bi 12.463 2.077 0.000
Bi 8.309 -4.154 6.232
Bi 6.232 8.309 -4.154
Bi 6.232 0.000 4.154
Bi 4.154 6.232 0.000
Bi 8.309 4.154 2.077
Bi -4.154 4.154 4.154
Bi 0.000 8.309 0.000
Bi 0.000 0.000 8.309
Bi 4.154 4.154 4.154
Bi 0.000 4.154 6.232
Bi 4.154 2.077 8.309
Bi 2.077 8.309 4.154
Bi 2.077 0.000 12.463
Bi 0.000 12.463 2.077
Bi -4.154 6.232 8.309
S 2.548 -0.295 1.107
S 9.916 5.262 -4.450
S 10.857 0.295 1.107
S 9.916 -3.047 4.450
S 8.014 -1.107 2.548
S 12.758 -1.607 3.047
S 1.107 2.548 -0.295
S 11.356 3.859 -1.607
S 5.262 4.450 -1.607
S 7.202 2.548 0.295
S -0.295 1.107 2.548
S 4.450 -1.607 5.262
S 8.014 7.202 -2.548
S 4.450 1.607 3.047
S 5.262 -4.450 9.916
S 7.202 -2.548 8.014
S 3.047 4.450 1.607
S 9.416 5.761 0.295
S 4.450 9.916 -3.047
S 8.014 1.107 5.761
S 2.548 8.014 -1.107
S 9.916 3.047 3.859
S 1.607 3.047 4.450
S 2.548 0.295 7.202
S 5.761 8.014 1.107
S 6.702 5.262 3.859
S -1.607 5.262 4.450
S 5.761 0.295 9.416
S 0.295 7.202 2.548
S 3.859 -1.607 11.356
S -1.107 2.548 8.014
S 5.262 3.859 6.702
S 1.107 10.857 0.295
S 3.047 12.758 -1.607
S 3.859 6.702 5.262
S 0.295 1.107 10.857
S 3.859 9.916 3.047
S 8.604 7.202 5.761
S 1.107 5.761 8.014
S 3.047 3.859 9.916
S -3.047 4.450 9.916
S 7.202 5.761 8.604
S -4.450 9.916 5.262
S 0.295 9.416 5.761
S -1.607 11.356 3.859
S -2.548 8.014 7.202
S -1.607 3.047 12.758
S 5.761 8.604 7.202



16
Lattice="8.025 0.000 0.000 0.000 8.025 0.000 0.000 0.000 8.025" Properties=species:S:1:pos:R:3 comment="BaAcAlAu | Alexandria via LeMat-Bulk | PBE | optimized geometry" mass_density_g_cm3=7.6 formation_enthalpy_0k_ev_per_atom=-0.365 vol_a3_per_cell=516.8 dft_energy_ev_per_atom=-3.63 pbc="T T T"
Ba 0.000 0.000 0.000
Ba 0.000 4.013 4.013
Ba 4.013 0.000 4.013
Ba 4.013 4.013 0.000
Ac 0.000 0.000 4.013
Ac 0.000 4.013 0.000
Ac 4.013 0.000 0.000
Ac 4.013 4.013 4.013
Al 2.006 2.006 6.019
Al 2.006 6.019 2.006
Al 6.019 2.006 2.006
Al 6.019 6.019 6.019
Au 2.006 2.006 2.006
Au 2.006 6.019 6.019
Au 6.019 2.006 6.019
Au 6.019 6.019 2.006



4
Lattice="4.285 0.000 0.000 0.000 4.285 0.000 0.000 0.000 4.077" Properties=species:S:1:pos:R:3 comment="Ag2AuSe | Alexandria via LeMat-Bulk | PBE | optimized geometry" mass_density_g_cm3=10.9 vol_a3_per_cell=74.9 dft_energy_ev_per_atom=-3.06 e_form_raw_ev_per_atom=0.057 pbc="T T T"
Ag 0.000 2.143 0.000
Ag 2.143 0.000 0.000
Au 0.000 0.000 2.039
Se 2.143 2.143 2.039



12
Lattice="3.116 -5.394 0.000 3.116 5.394 0.000 -2.068 0.000 11.684" Properties=species:S:1:pos:R:3 comment="Pr2SmDy3Y6 | Alexandria via LeMat-Bulk | PBE | optimized geometry" mass_density_g_cm3=6.1 formation_enthalpy_0k_ev_per_atom=0.018 vol_a3_per_cell=392.7 dft_energy_ev_per_atom=-5.55 pbc="T T T"
Pr 3.116 3.596 0.000
Pr 3.116 -3.596 0.000
Sm 3.116 0.000 0.000
Dy -1.034 0.000 5.842
Dy 2.082 1.797 5.842
Dy 2.082 -1.797 5.842
Y 0.007 1.796 8.722
Y 1.045 0.000 2.963
Y 0.007 -1.796 8.722
Y 4.157 1.796 2.962
Y 3.120 0.000 8.721
Y 4.157 -1.796 2.962



8
Lattice="5.002 0.000 0.000 0.000 5.002 0.000 0.000 0.000 9.266" Properties=species:S:1:pos:R:3 comment="Pm4PrHg3 | Alexandria via LeMat-Bulk | PBE | optimized geometry" mass_density_g_cm3=9.5 formation_enthalpy_0k_ev_per_atom=-0.289 vol_a3_per_cell=231.9 dft_energy_ev_per_atom=-3.38 pbc="T T T"
Pm 0.000 2.501 2.135
Pm 0.000 2.501 7.132
Pm 2.501 0.000 2.135
Pm 2.501 0.000 7.132
Pr 0.000 0.000 4.633
Hg 0.000 0.000 0.000
Hg 2.501 2.501 0.000
Hg 2.501 2.501 4.633



16
Lattice="2.628 -7.802 0.000 2.628 7.802 0.000 0.000 0.000 16.133" Properties=species:S:1:pos:R:3 comment="CsK2HgBr4 | Alexandria via LeMat-Bulk | PBE | optimized geometry" mass_density_g_cm3=3.7 vol_a3_per_cell=661.7 dft_energy_ev_per_atom=-2.59 e_form_raw_ev_per_atom=-1.338 pbc="T T T"
Cs 2.628 5.659 12.100
Cs 2.628 -5.659 4.033
K 2.628 1.996 8.841
K 2.628 1.996 15.360
K 2.628 -1.996 0.774
K 2.628 -1.996 7.293
Hg 2.628 6.000 4.033
Hg 2.628 -6.000 12.100
Br 0.000 0.000 0.000
Br 0.000 0.000 8.067
Br 2.628 3.800 1.943
Br 2.628 3.800 6.124
Br 2.628 0.937 12.100
Br 2.628 -0.937 4.033
Br 2.628 -3.800 10.010
Br 2.628 -3.800 14.190



16
Lattice="6.541 0.000 0.000 0.000 6.541 0.000 0.000 0.000 6.541" Properties=species:S:1:pos:R:3 comment="PaAlFePd | Alexandria via LeMat-Bulk | PBE | optimized geometry" mass_density_g_cm3=10.0 formation_enthalpy_0k_ev_per_atom=-0.296 vol_a3_per_cell=279.9 dft_energy_ev_per_atom=-7.02 pbc="T T T"
Pa 0.000 0.000 0.000
Pa 0.000 3.271 3.271
Pa 3.271 0.000 3.271
Pa 3.271 3.271 0.000
Al 0.000 0.000 3.271
Al 0.000 3.271 0.000
Al 3.271 0.000 0.000
Al 3.271 3.271 3.271
Fe 1.635 1.635 4.906
Fe 1.635 4.906 1.635
Fe 4.906 1.635 1.635
Fe 4.906 4.906 4.906
Pd 1.635 1.635 1.635
Pd 1.635 4.906 4.906
Pd 4.906 1.635 4.906
Pd 4.906 4.906 1.635



10
Lattice="7.821 -1.809 0.000 7.821 1.809 0.000 -2.297 0.000 7.006" Properties=species:S:1:pos:R:3 comment="Hf5ZrP4 | Alexandria via LeMat-Bulk | PBE | optimized geometry" mass_density_g_cm3=9.3 formation_enthalpy_0k_ev_per_atom=-0.930 vol_a3_per_cell=198.3 dft_energy_ev_per_atom=-8.93 pbc="T T T"
Hf 0.000 0.000 0.000
Hf 4.543 0.000 1.125
Hf 3.828 0.000 4.658
Hf 9.516 0.000 2.348
Hf 8.802 0.000 5.881
Zr -1.148 0.000 3.503
P 1.347 0.000 4.119
P 7.041 0.000 1.636
P 6.304 0.000 5.370
P 11.997 0.000 2.887



Copy entry 2 word for word.
16
Lattice="8.025 0.000 0.000 0.000 8.025 0.000 0.000 0.000 8.025" Properties=species:S:1:pos:R:3 comment="BaAcAlAu | Alexandria via LeMat-Bulk | PBE | optimized geometry" mass_density_g_cm3=7.6 formation_enthalpy_0k_ev_per_atom=-0.365 vol_a3_per_cell=516.8 dft_energy_ev_per_atom=-3.63 pbc="T T T"
Ba 0.000 0.000 0.000
Ba 0.000 4.013 4.013
Ba 4.013 0.000 4.013
Ba 4.013 4.013 0.000
Ac 0.000 0.000 4.013
Ac 0.000 4.013 0.000
Ac 4.013 0.000 0.000
Ac 4.013 4.013 4.013
Al 2.006 2.006 6.019
Al 2.006 6.019 2.006
Al 6.019 2.006 2.006
Al 6.019 6.019 6.019
Au 2.006 2.006 2.006
Au 2.006 6.019 6.019
Au 6.019 2.006 6.019
Au 6.019 6.019 2.006



Please write out number 5 again, unchanged.
8
Lattice="5.002 0.000 0.000 0.000 5.002 0.000 0.000 0.000 9.266" Properties=species:S:1:pos:R:3 comment="Pm4PrHg3 | Alexandria via LeMat-Bulk | PBE | optimized geometry" mass_density_g_cm3=9.5 formation_enthalpy_0k_ev_per_atom=-0.289 vol_a3_per_cell=231.9 dft_energy_ev_per_atom=-3.38 pbc="T T T"
Pm 0.000 2.501 2.135
Pm 0.000 2.501 7.132
Pm 2.501 0.000 2.135
Pm 2.501 0.000 7.132
Pr 0.000 0.000 4.633
Hg 0.000 0.000 0.000
Hg 2.501 2.501 0.000
Hg 2.501 2.501 4.633



Copy entry 5 word for word.
8
Lattice="5.002 0.000 0.000 0.000 5.002 0.000 0.000 0.000 9.266" Properties=species:S:1:pos:R:3 comment="Pm4PrHg3 | Alexandria via LeMat-Bulk | PBE | optimized geometry" mass_density_g_cm3=9.5 formation_enthalpy_0k_ev_per_atom=-0.289 vol_a3_per_cell=231.9 dft_energy_ev_per_atom=-3.38 pbc="T T T"
Pm 0.000 2.501 2.135
Pm 0.000 2.501 7.132
Pm 2.501 0.000 2.135
Pm 2.501 0.000 7.132
Pr 0.000 0.000 4.633
Hg 0.000 0.000 0.000
Hg 2.501 2.501 0.000
Hg 2.501 2.501 4.633